No. 1
# NaSn2Bi (PBE-GGA, relaxed)
data_NaSn2Bi
_chemical_formula_sum 'Na1 Sn2 Bi1'
_symmetry_space_group_name_H-M 'P 1'
_symmetry_Int_Tables_number 1
_cell_length_a 5.150
_cell_length_b 4.681
_cell_length_c 4.681
_cell_angle_alpha 90.00
_cell_angle_beta 90.00
_cell_angle_gamma 90.00
loop_
_symmetry_equiv_pos_as_xyz
'x,y,z'
loop_
_atom_site_label
_atom_site_type_symbol
_atom_site_fract_x
_atom_site_fract_y
_atom_site_fract_z
Sn1 Sn 0.000 0.500 0.000
Sn2 Sn 0.000 0.000 0.500
Bi1 Bi 0.500 0.500 0.500
Na1 Na 0.500 0.000 0.000
# * uncorrected energy: -3.42 eV/atom
# * N(E_F): 0.479 states/eV/atom
# * calculated formation energy: -115.2 meV/atom
# * mass density: 6.91 g/cm3

=====

No. 2
# LiY4Ag3 (PBE-GGA, relaxed)
data_LiY4Ag3
_chemical_formula_sum 'Li1 Y4 Ag3'
_symmetry_space_group_name_H-M 'P 1'
_symmetry_Int_Tables_number 1
_cell_length_a 3.675
_cell_length_b 5.145
_cell_length_c 10.310
_cell_angle_alpha 90.00
_cell_angle_beta 90.00
_cell_angle_gamma 90.00
loop_
_symmetry_equiv_pos_as_xyz
'x,y,z'
loop_
_atom_site_label
_atom_site_type_symbol
_atom_site_fract_x
_atom_site_fract_y
_atom_site_fract_z
Ag1 Ag 0.500 0.500 0.500
Ag2 Ag 0.500 0.000 0.757
Ag3 Ag 0.500 0.000 0.243
Y1 Y 0.000 0.000 0.000
Y2 Y 0.000 0.000 0.500
Y3 Y 0.000 0.500 0.746
Y4 Y 0.000 0.500 0.254
Li1 Li 0.500 0.500 0.000
# * uncorrected energy: -4.77 eV/atom
# * N(E_F): 0.625 states/eV/atom
# * calculated formation energy: -230.7 meV/atom
# * mass density: 5.84 g/cm3

=====

No. 3
# MnZnSb2 (PBE-GGA, relaxed)
data_MnZnSb2
_chemical_formula_sum 'Mn1 Zn1 Sb2'
_symmetry_space_group_name_H-M 'P 1'
_symmetry_Int_Tables_number 1
_cell_length_a 3.728
_cell_length_b 3.603
_cell_length_c 6.210
_cell_angle_alpha 90.00
_cell_angle_beta 90.00
_cell_angle_gamma 90.00
loop_
_symmetry_equiv_pos_as_xyz
'x,y,z'
loop_
_atom_site_label
_atom_site_type_symbol
_atom_site_fract_x
_atom_site_fract_y
_atom_site_fract_z
Sb1 Sb 0.000 0.000 0.988
Sb2 Sb 0.000 0.000 0.512
Zn1 Zn 0.500 0.500 0.250
Mn1 Mn 0.500 0.500 0.750
# * energy relative to the elements, uncorrected: 222 meV per atom
# * uncorrected energy: -4.45 eV/atom
# * N(E_F): 0.552 states/eV/atom
# * mass density: 7.24 g/cm3

=====

No. 4
# Mn3SbOs (PBE-GGA, relaxed)
data_Mn3SbOs
_chemical_formula_sum 'Mn3 Sb1 Os1'
_symmetry_space_group_name_H-M 'P 1'
_symmetry_Int_Tables_number 1
_cell_length_a 4.725
_cell_length_b 4.725
_cell_length_c 4.725
_cell_angle_alpha 90.00
_cell_angle_beta 90.00
_cell_angle_gamma 90.00
loop_
_symmetry_equiv_pos_as_xyz
'x,y,z'
loop_
_atom_site_label
_atom_site_type_symbol
_atom_site_fract_x
_atom_site_fract_y
_atom_site_fract_z
Mn1 Mn 0.000 0.000 0.500
Mn2 Mn 0.000 0.500 0.000
Mn3 Mn 0.500 0.000 0.000
Sb1 Sb 0.500 0.500 0.500
Os1 Os 0.000 0.000 0.000
# * energy relative to the elements, uncorrected: 1022 meV per atom
# * uncorrected energy: -7.55 eV/atom
# * N(E_F): 1.493 states/eV/atom
# * mass density: 7.51 g/cm3

=====

No. 5
# Ac3Ga8Pd3 (PBE-GGA, relaxed)
data_Ac3Ga8Pd3
_chemical_formula_sum 'Ac3 Ga8 Pd3'
_symmetry_space_group_name_H-M 'P 1'
_symmetry_Int_Tables_number 1
_cell_length_a 4.642
_cell_length_b 8.594
_cell_length_c 8.717
_cell_angle_alpha 64.99
_cell_angle_beta 74.56
_cell_angle_gamma 74.33
loop_
_symmetry_equiv_pos_as_xyz
'x,y,z'
loop_
_atom_site_label
_atom_site_type_symbol
_atom_site_fract_x
_atom_site_fract_y
_atom_site_fract_z
Pd1 Pd 0.000 0.500 0.500
Pd2 Pd 0.652 0.700 0.995
Pd3 Pd 0.348 0.300 0.005
Ga1 Ga 0.505 0.671 0.318
Ga2 Ga 0.853 0.432 0.863
Ga3 Ga 0.147 0.568 0.137
Ga4 Ga 0.348 0.018 0.286
Ga5 Ga 0.495 0.329 0.682
Ga6 Ga 0.652 0.982 0.714
Ga7 Ga 0.864 0.849 0.424
Ga8 Ga 0.136 0.151 0.576
Ac1 Ac 0.000 0.000 0.000
Ac2 Ac 0.709 0.282 0.300
Ac3 Ac 0.291 0.718 0.700
# * E above lowest polymorph: 22 meV/atom
# * uncorrected energy: -4.36 eV/atom
# * N(E_F): 0.423 states/eV/atom
# * calculated formation energy: -635.9 meV/atom
# * mass density: 8.66 g/cm3

=====

No. 6
# Sc2CuP (PBE-GGA, relaxed)
data_Sc2CuP
_chemical_formula_sum 'Sc2 Cu1 P1'
_symmetry_space_group_name_H-M 'P 1'
_symmetry_Int_Tables_number 1
_cell_length_a 4.593
_cell_length_b 4.593
_cell_length_c 4.593
_cell_angle_alpha 60.00
_cell_angle_beta 60.00
_cell_angle_gamma 60.00
loop_
_symmetry_equiv_pos_as_xyz
'x,y,z'
loop_
_atom_site_label
_atom_site_type_symbol
_atom_site_fract_x
_atom_site_fract_y
_atom_site_fract_z
Sc1 Sc 0.750 0.750 0.750
Sc2 Sc 0.000 0.000 0.000
P1 P 0.250 0.250 0.250
Cu1 Cu 0.500 0.500 0.500
# * uncorrected energy: -5.50 eV/atom
# * N(E_F): 1.288 states/eV/atom
# * calculated formation energy: 39.1 meV/atom
# * mass density: 4.47 g/cm3

=====

No. 7
# Tc2NiW (PBE-GGA, relaxed)
data_Tc2NiW
_chemical_formula_sum 'Tc2 Ni1 W1'
_symmetry_space_group_name_H-M 'P 1'
_symmetry_Int_Tables_number 1
_cell_length_a 4.642
_cell_length_b 4.642
_cell_length_c 4.663
_cell_angle_alpha 79.63
_cell_angle_beta 79.63
_cell_angle_gamma 35.13
loop_
_symmetry_equiv_pos_as_xyz
'x,y,z'
loop_
_atom_site_label
_atom_site_type_symbol
_atom_site_fract_x
_atom_site_fract_y
_atom_site_fract_z
W1 W 0.750 0.750 0.750
Tc1 Tc 0.994 0.994 0.016
Tc2 Tc 0.506 0.506 0.484
Ni1 Ni 0.250 0.250 0.250
# * E above lowest polymorph: 125 meV/atom
# * uncorrected energy: -9.76 eV/atom
# * N(E_F): 1.023 states/eV/atom
# * calculated formation energy: 110.6 meV/atom
# * mass density: 12.83 g/cm3

=====

No. 8
# NdGdDyMg (PBE-GGA, relaxed)
data_NdGdDyMg
_chemical_formula_sum 'Nd1 Gd1 Dy1 Mg1'
_symmetry_space_group_name_H-M 'P 1'
_symmetry_Int_Tables_number 1
_cell_length_a 5.572
_cell_length_b 5.572
_cell_length_c 5.572
_cell_angle_alpha 60.00
_cell_angle_beta 60.00
_cell_angle_gamma 60.00
loop_
_symmetry_equiv_pos_as_xyz
'x,y,z'
loop_
_atom_site_label
_atom_site_type_symbol
_atom_site_fract_x
_atom_site_fract_y
_atom_site_fract_z
Nd1 Nd 0.000 0.000 0.000
Mg1 Mg 0.250 0.250 0.250
Dy1 Dy 0.750 0.750 0.750
Gd1 Gd 0.500 0.500 0.500
# * uncorrected energy: -6.23 eV/atom
# * N(E_F): 1.294 states/eV/atom
# * calculated formation energy: 28.9 meV/atom
# * mass density: 6.63 g/cm3

=====

- Which formula does entry 1 have?
  NaSn2Bi